Entry from Alexandria via LeMat-Bulk: a relaxed LiCaUO4 crystal (PBE-GGA).

abc: 6.818 6.820 6.820
angles: 61.03 60.01 60.01
Each line ends with the local moment (μB).
Element x y z (fractional)
Li (0.676, 0.574, 0.074)  0.00
Li (0.324, 0.426, 0.926)  0.00
Ca (0.500, 0.000, 0.500)  0.00
Ca (0.000, 0.000, 0.500)  0.00
U (0.000, 0.000, 0.000)  1.06
U (0.000, 0.500, 0.500)  1.06
O (0.782, 0.729, 0.706)  -0.02
O (0.218, 0.794, 0.771)  -0.02
O (0.782, 0.206, 0.229)  -0.02
O (0.218, 0.271, 0.294)  -0.02
O (0.197, 0.756, 0.256)  -0.03
O (0.792, 0.756, 0.256)  -0.03
O (0.208, 0.244, 0.744)  -0.03
O (0.803, 0.244, 0.744)  -0.03

Summary:
Total moment in Bohr magnetons per cell: 2.00
Space group: Imma, No. 74
ρ in Mg/m³: 5.1
Formation energy from raw total energies in meV/atom: -2891